Entry 1:
The following is a DFT calculation (PBE) of a geometry-optimized BaBe2Os structure.

a b c (Å): 3.969 3.969 6.199
angles (deg): 108.70 108.70 60.02
Fractional positions:
Ba  0.000  0.000  0.000
Be  0.498  0.498  0.497
Be  0.821  0.821  0.467
Os  0.188  0.188  0.566

Space-group type ... Cm (8)
Formation energy ... 0.14 eV per atom
V ... 78.6 Å³/cell


Entry 2:
The following is a DFT calculation (PBE) of a geometry-optimized BaBe2Os structure.

a b c (Å): 6.088 6.088 6.088
angles (deg): 38.35 38.35 38.35
Fractional positions:
Ba  0.000  0.000  0.000
Be  0.182  0.182  0.182
Be  0.818  0.818  0.818
Os  0.500  0.500  0.500

Space-group type ... R-3m (166)
Formation energy ... 0.17 eV per atom
V ... 78.0 Å³/cell


Entry 3:
The following is a DFT calculation (PBE) of a geometry-optimized BaBe2Os structure.

a b c (Å): 4.811 4.811 2.914
angles (deg): 93.12 93.12 99.73
Fractional positions:
Ba  0.000  0.000  0.000
Be  0.000  0.500  0.500
Be  0.500  0.000  0.500
Os  0.500  0.500  0.000

Space-group type ... C2/m (12)
Formation energy ... 1.16 eV per atom
V ... 66.2 Å³/cell


Entry 4:
The following is a DFT calculation (PBE) of a geometry-optimized Ba2BeOs structure.

a b c (Å): 4.660 4.660 8.394
angles (deg): 97.73 97.73 43.29
Fractional positions:
Ba  0.245  0.245  0.225
Ba  0.755  0.755  0.775
Be  0.000  0.000  0.500
Os  0.500  0.500  0.000

Space-group type ... C2/m (12)
Formation energy ... 1.17 eV per atom
V ... 123.7 Å³/cell


Entry 5:
The following is a DFT calculation (PBE) of a geometry-optimized Ba2BeOs structure.

a b c (Å): 5.211 5.211 5.211
angles (deg): 60.00 60.00 60.00
Fractional positions:
Ba  0.000  0.000  0.000
Ba  0.250  0.250  0.250
Be  0.750  0.750  0.750
Os  0.500  0.500  0.500

Space-group type ... F-43m (216)
Formation energy ... 1.05 eV per atom
V ... 100.0 Å³/cell


Entry 6:
The following is a DFT calculation (PBE) of a geometry-optimized BaBe3Os structure.

a b c (Å): 4.514 4.514 4.514
angles (deg): 90.00 90.00 90.00
Fractional positions:
Ba  0.000  0.000  0.000
Be  0.000  0.500  0.500
Be  0.500  0.000  0.500
Be  0.500  0.500  0.000
Os  0.500  0.500  0.500

Space-group type ... Pm-3m (221)
Formation energy ... 0.21 eV per atom
V ... 92.0 Å³/cell


Entry 7:
The following is a DFT calculation (PBE) of a geometry-optimized Ba2BeOs structure.

a b c (Å): 10.292 10.292 10.292
angles (deg): 151.22 151.22 41.15
Fractional positions:
Ba  0.113  0.625  0.988
Ba  0.375  0.363  0.488
Ba  0.637  0.125  0.012
Ba  0.875  0.887  0.512
Be  0.250  0.750  0.500
Be  0.500  0.500  0.000
Os  0.000  0.000  0.000
Os  0.750  0.250  0.500

Space-group type ... I-42d (122)
Formation energy ... 1.52 eV per atom
V ... 252.1 Å³/cell


Entry 8:
The following is a DFT calculation (PBE) of a geometry-optimized BaBe4Os structure.

a b c (Å): 4.904 4.904 4.904
angles (deg): 60.00 60.00 60.00
Fractional positions:
Ba  0.000  0.000  0.000
Be  0.143  0.619  0.619
Be  0.619  0.143  0.619
Be  0.619  0.619  0.143
Be  0.619  0.619  0.619
Os  0.250  0.250  0.250

Space-group type ... F-43m (216)
Formation energy ... 0.70 eV per atom
V ... 83.4 Å³/cell


Entry 9:
The following is a DFT calculation (PBE) of a geometry-optimized BaBe2Os structure.

a b c (Å): 4.804 4.804 4.804
angles (deg): 123.66 123.66 83.76
Fractional positions:
Ba  0.000  0.000  0.000
Be  0.250  0.750  0.500
Be  0.500  0.500  0.000
Os  0.750  0.250  0.500

Space-group type ... I-4m2 (119)
Formation energy ... 1.33 eV per atom
V ... 73.6 Å³/cell


Entry 10:
The following is a DFT calculation (PBE) of a geometry-optimized BaBe3Os structure.

a b c (Å): 4.614 4.614 4.614
angles (deg): 90.00 90.00 90.00
Fractional positions:
Ba  0.000  0.000  0.000
Be  0.000  0.000  0.500
Be  0.000  0.500  0.000
Be  0.500  0.000  0.000
Os  0.500  0.500  0.500

Space-group type ... Pm-3m (221)
Formation energy ... 3.08 eV per atom
V ... 98.2 Å³/cell


Entry 11:
The following is a DFT calculation (PBE) of a geometry-optimized BaBe2Os structure.

a b c (Å): 3.254 3.254 7.051
angles (deg): 90.00 90.00 90.00
Fractional positions:
Ba  0.000  0.000  0.000
Be  0.000  0.000  0.565
Be  0.500  0.500  0.354
Os  0.500  0.500  0.646

Space-group type ... P4mm (99)
Formation energy ... 0.49 eV per atom
V ... 74.6 Å³/cell


Entry 12:
The following is a DFT calculation (PBE) of a geometry-optimized BaBe2Os structure.

a b c (Å): 4.833 4.833 2.835
angles (deg): 90.00 90.00 90.00
Fractional positions:
Ba  0.000  0.000  0.000
Be  0.000  0.500  0.500
Be  0.500  0.000  0.500
Os  0.500  0.500  0.000

Space-group type ... P4/mmm (123)
Formation energy ... 1.17 eV per atom
V ... 66.2 Å³/cell


Entry 13:
The following is a DFT calculation (PBE) of a geometry-optimized BaBe2Os structure.

a b c (Å): 5.124 5.124 5.124
angles (deg): 134.50 110.20 87.35
Fractional positions:
Ba  0.000  0.000  0.000
Be  0.356  0.856  0.500
Be  0.644  0.144  0.500
Os  0.500  0.500  0.000

Space-group type ... Immm (71)
Formation energy ... 0.73 eV per atom
V ... 86.1 Å³/cell


Entry 14:
The following is a DFT calculation (PBE) of a geometry-optimized Ba4BeOs structure.

a b c (Å): 6.759 6.759 6.759
angles (deg): 60.00 60.00 60.00
Fractional positions:
Ba  0.376  0.376  0.376
Ba  0.376  0.376  0.873
Ba  0.376  0.873  0.376
Ba  0.873  0.376  0.376
Be  0.000  0.000  0.000
Os  0.750  0.750  0.750

Space-group type ... F-43m (216)
Formation energy ... 1.53 eV per atom
V ... 218.3 Å³/cell


Entry 15:
The following is a DFT calculation (PBE) of a geometry-optimized Ba2BeOs structure.

a b c (Å): 4.174 4.174 8.986
angles (deg): 104.26 104.26 60.04
Fractional positions:
Ba  0.000  0.000  0.000
Ba  0.175  0.175  0.494
Be  0.754  0.754  0.247
Os  0.421  0.421  0.248

Space-group type ... Cm (8)
Formation energy ... 0.22 eV per atom
V ... 130.0 Å³/cell


Entry 16:
The following is a DFT calculation (PBE) of a geometry-optimized BaBe2Os structure.

a b c (Å): 4.822 4.822 4.822
angles (deg): 127.54 127.54 77.37
Fractional positions:
Ba  0.000  0.000  0.000
Be  0.250  0.750  0.500
Be  0.750  0.250  0.500
Os  0.500  0.500  0.000

Space-group type ... I4/mmm (139)
Formation energy ... 1.06 eV per atom
V ... 68.4 Å³/cell


Entry 17:
The following is a DFT calculation (PBE) of a geometry-optimized BaBe2Os structure.

a b c (Å): 5.549 5.549 5.549
angles (deg): 148.94 122.73 66.59
Fractional positions:
Ba  0.000  0.000  0.000
Be  0.486  0.486  0.000
Be  0.689  0.189  0.500
Os  0.304  0.804  0.500

Space-group type ... Imm2 (44)
Formation energy ... 0.96 eV per atom
V ... 73.3 Å³/cell


Entry 18:
The following is a DFT calculation (PBE) of a geometry-optimized BaBe2Os structure.

a b c (Å): 4.264 4.264 5.817
angles (deg): 104.99 104.99 49.39
Fractional positions:
Ba  0.000  0.000  0.000
Be  0.199  0.199  0.550
Be  0.801  0.801  0.450
Os  0.500  0.500  0.500

Space-group type ... C2/m (12)
Formation energy ... 0.17 eV per atom
V ... 77.0 Å³/cell


Entry 19:
The following is a DFT calculation (PBE) of a geometry-optimized Ba2BeOs structure.

a b c (Å): 3.731 3.794 8.095
angles (deg): 90.00 90.11 90.00
Fractional positions:
Ba  0.000  0.000  0.231
Ba  0.000  0.000  0.769
Be  0.500  0.500  0.500
Os  0.500  0.500  0.000

Space-group type ... P2/m (10)
Formation energy ... 0.97 eV per atom
V ... 114.6 Å³/cell


Entry 20:
The following is a DFT calculation (PBE) of a geometry-optimized Ba2BeOs structure.

a b c (Å): 5.419 5.419 3.850
angles (deg): 90.07 90.07 90.05
Fractional positions:
Ba  0.000  0.500  0.000
Ba  0.500  0.000  0.000
Be  0.000  0.000  0.500
Os  0.500  0.500  0.500

Space-group type ... C2/m (12)
Formation energy ... 1.00 eV per atom
V ... 113.1 Å³/cell